*A*
First-principles (GGA-PBE) data for Tl2Mo after structural relaxation, as listed in the Open Quantum Materials Database.

Lattice parameters (Å, degrees): 4.7184 4.7184 4.7184 60.00 60.00 60.00
With the nearest neighbours (Å) after each atom.
Fractional coordinates of all 3 atoms:
1 Tl 0.7500 0.7500 0.7500  4 Mo 2.89
2 Tl 0.2500 0.2500 0.2500  4 Mo 2.89
3 Mo 0.0000 0.0000 0.0000  8 Tl 2.89

***

*B*
First-principles (GGA-PBE) data for Tl2Mo after structural relaxation, as listed in the Open Quantum Materials Database.

Lattice parameters (Å, degrees): 8.6239 8.6239 8.6239 60.00 60.00 60.00
With the nearest neighbours (Å) after each atom.
Fractional coordinates of all 6 atoms:
1 Tl 0.8750 0.3750 0.3750  2 Mo 2.64
2 Tl 0.3750 0.8750 0.3750  2 Mo 2.64
3 Tl 0.3750 0.3750 0.3750  2 Mo 2.64
4 Tl 0.3750 0.3750 0.8750  2 Mo 2.64
5 Mo 0.2500 0.2500 0.2500  4 Tl 2.64
6 Mo 0.5000 0.5000 0.5000  4 Tl 2.64

***

*C*
First-principles (GGA-PBE) data for Tl2Mo after structural relaxation, as listed in the Open Quantum Materials Database.

Lattice parameters (Å, degrees): 14.6702 14.6702 14.6702 12.62 12.62 12.62
With the nearest neighbours (Å) after each atom.
Fractional coordinates of all 6 atoms:
1 Mo 0.5840 0.5840 0.5840  6 Tl 2.93-2.95, 6 Mo 3.23
2 Mo 0.4160 0.4160 0.4160  6 Tl 2.93-2.95, 6 Mo 3.23
3 Tl 0.1352 0.1352 0.1352  3 Mo 2.95, 6 Tl 3.23
4 Tl 0.8648 0.8648 0.8648  3 Mo 2.95, 6 Tl 3.23
5 Tl 0.3025 0.3025 0.3025  3 Mo 2.93, 9 Tl 3.23-3.27
6 Tl 0.6975 0.6975 0.6975  3 Mo 2.93, 9 Tl 3.23-3.27

***

Which is less stable than every other structure shown? *B* is.